No. 1
A plane-wave DFT calculation with PBE was carried out for a relaxed LaPmErMg crystal.

Unit cell a=3.724 b=3.724 c=9.034 alpha=90.00 beta=90.00 gamma=90.00
Fractional positions:
La  0.000  0.000  0.000
Pm  0.500  0.500  0.715
Er  0.500  0.500  0.273
Mg  0.000  0.000  0.486

Output
- Energy relative to the elements: -22 meV/atom
- Excess energy over the best structure of this formula in the dataset: 0.0 meV per atom



No. 2
A plane-wave DFT calculation with PBE was carried out for a relaxed La2PmEr2Mg5 crystal.

Unit cell a=10.685 b=10.685 c=5.136 alpha=90.00 beta=90.00 gamma=90.00
Fractional positions:
La  0.176  0.324  0.000
La  0.324  0.824  0.000
La  0.676  0.176  0.000
La  0.824  0.676  0.000
Pm  0.000  0.000  0.000
Pm  0.500  0.500  0.000
Er  0.120  0.620  0.000
Er  0.380  0.120  0.000
Er  0.620  0.880  0.000
Er  0.880  0.380  0.000
Mg  0.000  0.500  0.500
Mg  0.073  0.800  0.500
Mg  0.200  0.073  0.500
Mg  0.300  0.573  0.500
Mg  0.427  0.300  0.500
Mg  0.500  0.000  0.500
Mg  0.573  0.700  0.500
Mg  0.700  0.427  0.500
Mg  0.800  0.927  0.500
Mg  0.927  0.200  0.500

Output
- Energy relative to the elements: 3 meV/atom



No. 3
A plane-wave DFT calculation with PBE was carried out for a relaxed La6PmEr2Mg crystal.

Unit cell a=8.725 b=8.725 c=9.463 alpha=95.62 beta=95.62 gamma=104.96
Fractional positions:
La  0.045  0.466  0.671
La  0.060  0.822  0.900
La  0.178  0.940  0.600
La  0.244  0.580  0.082
La  0.420  0.756  0.418
La  0.466  0.045  0.171
La  0.534  0.955  0.829
La  0.580  0.244  0.582
La  0.756  0.420  0.918
La  0.822  0.060  0.400
La  0.940  0.178  0.100
La  0.955  0.534  0.329
Pm  0.431  0.569  0.750
Pm  0.569  0.431  0.250
Er  0.235  0.302  0.404
Er  0.302  0.235  0.904
Er  0.698  0.765  0.096
Er  0.765  0.698  0.596
Mg  0.096  0.904  0.250
Mg  0.904  0.096  0.750

Output
- Energy relative to the elements: 91 meV/atom



No. 4
A plane-wave DFT calculation with PBE was carried out for a relaxed LaPmErMg crystal.

Unit cell a=5.625 b=5.625 c=5.625 alpha=60.00 beta=60.00 gamma=60.00
Fractional positions:
La  0.000  0.000  0.000
Pm  0.500  0.500  0.500
Er  0.750  0.750  0.750
Mg  0.250  0.250  0.250

Output
- Energy relative to the elements: 9 meV/atom
- Excess energy over the best structure of this formula in the dataset: 31.7 meV per atom



No. 5
A plane-wave DFT calculation with PBE was carried out for a relaxed La3Pm6Er2Mg crystal.

Unit cell a=6.296 b=6.296 c=11.920 alpha=95.08 beta=95.08 gamma=120.06
Fractional positions:
La  0.000  0.000  0.000
La  0.332  0.668  0.000
La  0.668  0.332  0.000
Pm  0.090  0.421  0.258
Pm  0.248  0.248  0.743
Pm  0.421  0.090  0.258
Pm  0.579  0.910  0.742
Pm  0.752  0.752  0.257
Pm  0.910  0.579  0.742
Er  0.166  0.834  0.500
Er  0.834  0.166  0.500
Mg  0.500  0.500  0.500

Output
- Energy relative to the elements: 34 meV/atom



No. 6
A plane-wave DFT calculation with PBE was carried out for a relaxed La5Pr2ErMg crystal.

Unit cell a=10.537 b=10.537 c=11.087 alpha=90.00 beta=90.00 gamma=148.85
Fractional positions:
La  0.000  0.000  0.000
La  0.000  0.000  0.500
La  0.123  0.877  0.751
La  0.213  0.787  0.450
La  0.215  0.785  0.053
La  0.488  0.512  0.751
La  0.512  0.488  0.251
La  0.785  0.215  0.553
La  0.787  0.213  0.950
La  0.877  0.123  0.251
Pr  0.383  0.617  0.462
Pr  0.384  0.616  0.039
Pr  0.616  0.384  0.539
Pr  0.617  0.383  0.962
Er  0.307  0.693  0.751
Er  0.693  0.307  0.251
Mg  0.096  0.904  0.250
Mg  0.904  0.096  0.750

Output
- Energy relative to the elements: 73 meV/atom



No. 7
A plane-wave DFT calculation with PBE was carried out for a relaxed La2Pr6ErMg crystal.

Unit cell a=8.746 b=8.746 c=9.583 alpha=95.69 beta=95.69 gamma=105.02
Fractional positions:
La  0.203  0.265  0.089
La  0.265  0.203  0.589
La  0.735  0.797  0.411
La  0.797  0.735  0.911
Pr  0.031  0.464  0.824
Pr  0.080  0.741  0.576
Pr  0.259  0.920  0.924
Pr  0.330  0.570  0.405
Pr  0.430  0.670  0.095
Pr  0.464  0.031  0.324
Pr  0.536  0.969  0.676
Pr  0.570  0.330  0.905
Pr  0.670  0.430  0.595
Pr  0.741  0.080  0.076
Pr  0.920  0.259  0.424
Pr  0.969  0.536  0.176
Er  0.067  0.933  0.250
Er  0.933  0.067  0.750
Mg  0.401  0.599  0.750
Mg  0.599  0.401  0.250

Output
- Energy relative to the elements: 103 meV/atom



No. 8
A plane-wave DFT calculation with PBE was carried out for a relaxed LaPr6Er2Mg crystal.

Unit cell a=8.683 b=8.683 c=9.615 alpha=96.55 beta=96.55 gamma=106.00
Fractional positions:
La  0.065  0.935  0.750
La  0.935  0.065  0.250
Pr  0.032  0.460  0.330
Pr  0.080  0.737  0.075
Pr  0.263  0.920  0.425
Pr  0.329  0.560  0.904
Pr  0.440  0.671  0.596
Pr  0.460  0.032  0.830
Pr  0.540  0.968  0.170
Pr  0.560  0.329  0.404
Pr  0.671  0.440  0.096
Pr  0.737  0.080  0.575
Pr  0.920  0.263  0.925
Pr  0.968  0.540  0.670
Er  0.202  0.269  0.594
Er  0.269  0.202  0.094
Er  0.731  0.798  0.906
Er  0.798  0.731  0.406
Mg  0.401  0.599  0.250
Mg  0.599  0.401  0.750

Output
- Energy relative to the elements: 100 meV/atom



No. 9
A plane-wave DFT calculation with PBE was carried out for a relaxed La4Pr2ErMg crystal.

Unit cell a=5.156 b=5.156 c=10.312 alpha=90.00 beta=90.00 gamma=90.00
Fractional positions:
La  0.000  0.500  0.248
La  0.000  0.500  0.752
La  0.500  0.000  0.248
La  0.500  0.000  0.752
Pr  0.000  0.000  0.000
Pr  0.500  0.500  0.500
Er  0.000  0.000  0.500
Mg  0.500  0.500  0.000

Output
- Energy relative to the elements: -3 meV/atom



No. 10
A plane-wave DFT calculation with PBE was carried out for a relaxed La3Pr6Er2Mg crystal.

Unit cell a=6.357 b=6.357 c=12.011 alpha=95.12 beta=95.12 gamma=120.12
Fractional positions:
La  0.000  0.000  0.000
La  0.332  0.668  0.000
La  0.668  0.332  0.000
Pr  0.089  0.421  0.258
Pr  0.248  0.248  0.743
Pr  0.421  0.089  0.258
Pr  0.579  0.911  0.742
Pr  0.752  0.752  0.257
Pr  0.911  0.579  0.742
Er  0.166  0.834  0.500
Er  0.834  0.166  0.500
Mg  0.500  0.500  0.500

Output
- Energy relative to the elements: 32 meV/atom



No. 11
A plane-wave DFT calculation with PBE was carried out for a relaxed La2PrEr2Mg5 crystal.

Unit cell a=10.712 b=10.712 c=5.158 alpha=90.00 beta=90.00 gamma=90.00
Fractional positions:
La  0.176  0.324  0.000
La  0.324  0.824  0.000
La  0.676  0.176  0.000
La  0.824  0.676  0.000
Pr  0.000  0.000  0.000
Pr  0.500  0.500  0.000
Er  0.120  0.620  0.000
Er  0.380  0.120  0.000
Er  0.620  0.880  0.000
Er  0.880  0.380  0.000
Mg  0.000  0.500  0.500
Mg  0.074  0.799  0.500
Mg  0.201  0.074  0.500
Mg  0.299  0.574  0.500
Mg  0.426  0.299  0.500
Mg  0.500  0.000  0.500
Mg  0.574  0.701  0.500
Mg  0.701  0.426  0.500
Mg  0.799  0.926  0.500
Mg  0.926  0.201  0.500

Output
- Energy relative to the elements: 3 meV/atom



No. 12
A plane-wave DFT calculation with PBE was carried out for a relaxed La2Pr4ErMg crystal.

Unit cell a=5.104 b=5.104 c=10.424 alpha=90.00 beta=90.00 gamma=90.00
Fractional positions:
La  0.000  0.000  0.000
La  0.500  0.500  0.500
Pr  0.000  0.500  0.249
Pr  0.000  0.500  0.751
Pr  0.500  0.000  0.249
Pr  0.500  0.000  0.751
Er  0.000  0.000  0.500
Mg  0.500  0.500  0.000

Output
- Energy relative to the elements: 7 meV/atom



Number 1: Fermi-level density of states 5.54 states/eV/f.u., magnetization 0.00 μB per formula unit. Number 2: Fermi-level density of states 7.11 states/eV/f.u., magnetization 0.00 μB per formula unit. Number 3: Fermi-level density of states 14.94 states/eV/f.u., magnetization 0.00 μB per formula unit. Number 4: Fermi-level density of states 4.66 states/eV/f.u., magnetization 0.00 μB per formula unit. Number 5: Fermi-level density of states 16.83 states/eV/f.u., magnetization 0.00 μB per formula unit. Number 6: Fermi-level density of states 12.56 states/eV/f.u., magnetization 0.00 μB per formula unit. Number 7: Fermi-level density of states 15.10 states/eV/f.u., magnetization 0.00 μB per formula unit. Number 8: Fermi-level density of states 13.66 states/eV/f.u., magnetization 0.00 μB per formula unit. Number 9: Fermi-level density of states 11.42 states/eV/f.u., magnetization 0.00 μB per formula unit. Number 10: Fermi-level density of states 16.77 states/eV/f.u., magnetization 0.00 μB per formula unit. Number 11: Fermi-level density of states 7.16 states/eV/f.u., magnetization 0.00 μB per formula unit. Number 12: Fermi-level density of states 11.79 states/eV/f.u., magnetization 0.00 μB per formula unit.